(1)
Hf2Be16V | PBE-GGA | relaxed

Values from the calculation:
Formation energy from the elements = -0.14 eV/atom

Unit cell a=7.6660 b=7.6660 c=10.8922 alpha=90.00 beta=90.00 gamma=120.00
Space group R3m (No. 160, hexagonal axes)
One atom of each set of equivalent atoms:
Hf (0.0000, 0.0000, 0.0000) (multiplicity 3)
Hf (0.0000, 0.0000, 0.3134) (multiplicity 3)
Be (0.0000, 0.0000, 0.7678) (multiplicity 3)
Be (0.0014, 0.5007, 0.8066) (multiplicity 9)
Be (0.0023, 0.2965, 0.6501) (multiplicity 18)
Be (0.1676, 0.3351, 0.8263) (multiplicity 9)
Be (0.1679, 0.3358, 0.4846) (multiplicity 9)
V (0.0000, 0.0000, 0.5625) (multiplicity 3)



(2)
TbPmDySc | PBE-GGA | relaxed

Values from the calculation:
Excess energy over the best structure of this formula in the dataset = 0.23 eV per formula unit
Formation energy from the elements = 0.16 eV/atom

Unit cell a=7.895 b=7.895 c=7.895 alpha=90.00 beta=90.00 gamma=90.00
Space group F-43m (No. 216)
One atom of each set of equivalent atoms:
Tb (0.000, 0.000, 0.000) (multiplicity 4)
Pm (0.250, 0.250, 0.250) (multiplicity 4)
Dy (0.000, 0.000, 0.500) (multiplicity 4)
Sc (0.250, 0.250, 0.750) (multiplicity 4)



(3)
MnZnN | PBE-GGA | relaxed

Values from the calculation:
Excess energy over the best structure of this formula in the dataset = 0.00 eV per formula unit

Unit cell a=2.8587 b=2.8587 c=14.8516 alpha=90.00 beta=90.00 gamma=120.00
Space group R3m (No. 160, hexagonal axes)
One atom of each set of equivalent atoms:
Mn (0.0000, 0.0000, 0.0000) (multiplicity 3)
Zn (0.0000, 0.0000, 0.5272) (multiplicity 3)
N (0.0000, 0.0000, 0.3934) (multiplicity 3)



(4)
ScVOs2 | PBE-GGA | relaxed

Values from the calculation:
Formation energy from the elements = 0.38 eV/atom

Unit cell a=2.740 b=4.612 c=10.384 alpha=90.00 beta=90.00 gamma=90.00
Space group Immm (No. 71)
One atom of each set of equivalent atoms:
Sc (0.000, 0.000, 0.000) (multiplicity 2)
V (0.000, 0.000, 0.500) (multiplicity 2)
Os (0.000, 0.000, 0.279) (multiplicity 4)



(5)
Lu3Ir | PBE-GGA | relaxed

Values from the calculation:
Formation energy from the elements = -0.55 eV/atom

Unit cell a=3.553 b=5.082 c=10.652 alpha=90.00 beta=90.00 gamma=90.00
Space group Immm (No. 71)
One atom of each set of equivalent atoms:
Lu (0.000, 0.000, 0.000) (multiplicity 2)
Lu (0.000, 0.500, 0.199) (multiplicity 4)
Ir (0.000, 0.000, 0.500) (multiplicity 2)



(6)
Si2PdRh | PBE-GGA | relaxed

Values from the calculation:
DFT total energy = -6.1495 eV/atom

Unit cell a=2.9107 b=2.9107 c=25.0116 alpha=90.00 beta=90.00 gamma=120.00
Space group R-3m (No. 166, hexagonal axes)
One atom of each set of equivalent atoms:
Si (0.0000, 0.0000, 0.0938) (multiplicity 6)
Pd (0.0000, 0.0000, 0.0000) (multiplicity 3)
Rh (0.0000, 0.0000, 0.5000) (multiplicity 3)